Version A
Density functional theory data (PBE) for an optimized crystal structure of La2TaCr.

Cell and atoms, written as POSCAR:
```
La2TaCr
1.0
-1.800 2.629 5.293
1.800 -2.629 5.293
1.800 2.629 -5.293
La Ta Cr
2 1 1
Cartesian
0.000 0.000 0.000
0.000 2.629 2.381
1.800 0.000 3.105
0.000 0.000 4.817
```

***

Version B
Density functional theory data (PBE) for an optimized crystal structure of La2TaCr.

Cell and atoms, written as POSCAR:
```
La2TaCr
1.0
0.000 3.643 3.643
3.643 0.000 3.643
3.643 3.643 0.000
La Ta Cr
2 1 1
Cartesian
0.000 0.000 0.000
1.821 1.821 1.821
3.643 3.643 3.643
5.464 5.464 5.464
```

***

Version C
Density functional theory data (PBE) for an optimized crystal structure of La2TaCr.

Cell and atoms, written as POSCAR:
```
La2TaCr
1.0
0.000 3.620 3.620
3.620 0.000 3.620
3.620 3.620 0.000
La Ta Cr
2 1 1
Cartesian
1.810 1.810 1.810
5.429 5.429 5.429
0.000 0.000 0.000
3.620 3.620 3.620
```

***

Version D
Density functional theory data (PBE) for an optimized crystal structure of La2TaCr.

Cell and atoms, written as POSCAR:
```
La2TaCr
1.0
-4.115 4.115 3.074
4.115 -4.115 3.074
4.115 4.115 -3.074
La Ta Cr
4 2 2
Cartesian
2.057 1.943 -0.769
2.172 -2.057 3.843
2.057 2.172 2.306
1.943 6.172 0.769
4.115 0.000 1.537
0.000 0.000 3.074
0.000 0.000 0.000
0.000 4.115 1.537
```

***

Preferred: version A; penalty for the next structure: 183 meV/atom.

***

Version A
Density functional theory data (PBE) for an optimized crystal structure of LaTaCr3.

Cell and atoms, written as POSCAR:
```
LaTaCr3
1.0
4.810 0.000 0.000
0.000 4.810 0.000
0.000 0.000 4.810
La Ta Cr
1 1 3
Cartesian
0.000 0.000 0.000
2.405 2.405 2.405
0.000 2.405 2.405
2.405 0.000 2.405
2.405 2.405 0.000
```

***

Version B
Density functional theory data (PBE) for an optimized crystal structure of LaTaCr3.

Cell and atoms, written as POSCAR:
```
LaTaCr3
1.0
4.451 0.000 0.000
0.000 4.451 0.000
0.000 0.000 4.451
La Ta Cr
1 1 3
Cartesian
0.000 0.000 0.000
2.226 2.226 2.226
0.000 0.000 2.226
0.000 2.226 0.000
2.226 0.000 0.000
```

***

Preferred: version A; penalty for the next structure: 997 meV/atom.

***

Version A
Density functional theory data (PBE) for an optimized crystal structure of LaCrTc3.

Cell and atoms, written as POSCAR:
```
LaCrTc3
1.0
4.576 0.000 0.000
0.000 4.576 0.000
0.000 0.000 4.576
La Cr Tc
1 1 3
Cartesian
0.000 0.000 0.000
2.288 2.288 2.288
0.000 2.288 2.288
2.288 0.000 2.288
2.288 2.288 0.000
```

***

Version B
Density functional theory data (PBE) for an optimized crystal structure of LaCrTc3.

Cell and atoms, written as POSCAR:
```
LaCrTc3
1.0
4.684 0.000 0.000
0.000 4.684 0.000
0.000 0.000 4.684
La Cr Tc
1 1 3
Cartesian
0.000 0.000 0.000
2.342 2.342 2.342
0.000 0.000 2.342
0.000 2.342 0.000
2.342 0.000 0.000
```

***

Preferred: version A; penalty for the next structure: 1898 meV/atom.

***

Version A
Density functional theory data (PBE) for an optimized crystal structure of LaCr2Te2.

Cell and atoms, written as POSCAR:
```
LaCr2Te2
1.0
-2.487 2.487 4.435
2.487 -2.487 4.435
2.487 2.487 -4.435
La Cr Te
1 2 2
Cartesian
0.000 0.000 0.000
0.000 0.000 3.451
0.000 0.000 5.418
2.487 0.000 2.217
0.000 2.487 2.217
```

***

Version B
Density functional theory data (PBE) for an optimized crystal structure of LaCr2Te2.

Cell and atoms, written as POSCAR:
```
LaCr2Te2
1.0
7.743 0.000 0.000
0.000 7.743 0.000
0.000 0.000 3.778
La Cr Te
2 4 4
Cartesian
0.000 0.000 0.000
3.872 3.872 0.000
0.679 3.192 0.000
3.192 7.064 0.000
4.551 0.679 0.000
7.064 4.551 0.000
1.393 5.265 1.889
2.478 1.393 1.889
5.265 6.350 1.889
6.350 2.478 1.889
```

***

Preferred: version A; penalty for the next structure: 252 meV/atom.